A plane-wave DFT calculation with GGA-PBEsol was carried out for Ag2SbTe after structural relaxation.

a = 3.0335 Å, b = 4.1103 Å, c = 7.3351 Å
α = 90.00°, β = 90.00°, γ = 90.00°
With the nearest neighbours (Å) after each atom.
Fractional positions:
Ag 0.0000 0.0000 0.0000  1 Sb 2.89, 6 Ag 2.93-3.03, 4 Te 3.02
Ag 0.5000 0.5000 0.1955  6 Ag 2.93-3.03, 4 Sb 2.94, 1 Te 3.05
Sb 0.0000 0.0000 0.3947  5 Ag 2.89-2.94, 2 Sb 3.03
Te 0.5000 0.5000 0.7792  5 Ag 3.02-3.05, 2 Te 3.03

Properties
* total energy: -3.62 eV per atom
* space group: Pmm2, No. 25
* E_form (uncorrected): 0.06 eV per atom
* magnetization: 0.0 μB per cell
* distance to the lowest polymorph of the same formula: 29 meV/atom
* crystal system: orthorhombic

=====

A plane-wave DFT calculation with GGA-PBEsol was carried out for Ag2SbTe after structural relaxation.

a = 3.8524 Å, b = 3.8524 Å, c = 6.0004 Å
α = 90.00°, β = 90.00°, γ = 90.00°
With the nearest neighbours (Å) after each atom.
Fractional positions:
Ag 0.0000 0.0000 0.2416  2 Ag 2.90-3.10, 4 Sb 3.09, 4 Te 3.13
Ag 0.0000 0.0000 0.7584  2 Ag 2.90-3.10, 4 Sb 3.09, 4 Te 3.13
Sb 0.5000 0.5000 0.0000  2 Te 3.00, 8 Ag 3.09
Te 0.5000 0.5000 0.5000  2 Sb 3.00, 8 Ag 3.13

Properties
* total energy: -3.51 eV per atom
* space group: P4/mmm, No. 123
* E_form (uncorrected): 0.16 eV per atom
* magnetization: 0.0 μB per cell
* distance to the lowest polymorph of the same formula: 132 meV/atom
* crystal system: tetragonal

=====

A plane-wave DFT calculation with GGA-PBEsol was carried out for AgSbTe after structural relaxation.

a = 3.2502 Å, b = 3.2502 Å, c = 8.0590 Å
α = 90.00°, β = 90.00°, γ = 120.00°
With the nearest neighbours (Å) after each atom.
Fractional positions:
Ag 0.0000 0.0000 0.0000  3 Sb 2.94, 3 Te 3.01, 6 Ag 3.25
Sb 0.3333 0.6667 0.7186  3 Ag 2.94, 6 Sb 3.25
Te 0.6667 0.3333 0.2922  3 Ag 3.01, 6 Te 3.25

Properties
* total energy: -3.60 eV per atom
* space group: P3m1, No. 156
* E_form (uncorrected): 0.20 eV per atom
* magnetization: 0.0 μB per cell
* distance to the lowest polymorph of the same formula: 0 meV/atom
* crystal system: trigonal

=====

A plane-wave DFT calculation with GGA-PBEsol was carried out for Ag2SbTe after structural relaxation.

a = 3.0315 Å, b = 4.1704 Å, c = 7.3331 Å
α = 90.00°, β = 101.55°, γ = 90.00°
With the nearest neighbours (Å) after each atom.
Fractional positions:
Ag 0.0000 0.0000 0.0000  6 Ag 2.94-3.03, 4 Sb 2.97, 1 Te 3.03
Ag 0.4057 0.5000 0.8032  1 Sb 2.89, 6 Ag 2.94-3.03, 4 Te 3.03-3.05
Sb 0.6009 0.5000 0.2048  5 Ag 2.89-2.97, 2 Sb 3.03
Te 0.7900 0.0000 0.5789  5 Ag 3.03-3.05, 2 Te 3.03

Properties
* total energy: -3.65 eV per atom
* space group: Pm, No. 6
* E_form (uncorrected): 0.03 eV per atom
* magnetization: 0.0 μB per cell
* distance to the lowest polymorph of the same formula: 0 meV/atom
* crystal system: monoclinic